[1]
Density functional theory data (PBE) for a relaxed CsMo3I crystal.

## Properties
**M_tot**: 3.9 μB per formula unit
**Energy relative to the lowest polymorph listed for this composition**: 0.0000 eV/atom
**Volume**: 135.65 Å³ per cell
**Formation energy without anion corrections**: 2313 meV/atom

```
data_CsMo3I
_chemical_formula_sum 'Cs1 Mo3 I1'
_cell_length_a 5.138
_cell_length_b 5.138
_cell_length_c 5.138
_cell_angle_alpha 90.00
_cell_angle_beta 90.00
_cell_angle_gamma 90.00
_space_group_name_H-M_alt 'P 1'
_space_group_IT_number 1
loop_
_space_group_symop_operation_xyz
'x,y,z'
loop_
_atom_site_label
_atom_site_fract_x
_atom_site_fract_y
_atom_site_fract_z
Cs1 0.000 0.000 0.000
Mo1 0.000 0.500 0.500
Mo2 0.500 0.000 0.500
Mo3 0.500 0.500 0.000
I1 0.500 0.500 0.500
```



[2]
Density functional theory data (PBE) for a relaxed Li3Hg4Pd2 crystal.

## Properties
**M_tot**: 0.0 μB per formula unit
**Volume**: 160.77 Å³ per cell
**E_tot**: -20.3 eV/cell

```
data_Li3Hg4Pd2
_chemical_formula_sum 'Li3 Hg4 Pd2'
_cell_length_a 4.951
_cell_length_b 4.951
_cell_length_c 8.797
_cell_angle_alpha 103.27
_cell_angle_beta 103.27
_cell_angle_gamma 50.41
_space_group_name_H-M_alt 'P 1'
_space_group_IT_number 1
loop_
_space_group_symop_operation_xyz
'x,y,z'
loop_
_atom_site_label
_atom_site_fract_x
_atom_site_fract_y
_atom_site_fract_z
Li1 0.000 0.000 0.000
Li2 0.332 0.332 0.438
Li3 0.668 0.668 0.562
Hg1 0.017 0.017 0.340
Hg2 0.337 0.337 0.114
Hg3 0.663 0.663 0.886
Hg4 0.983 0.983 0.660
Pd1 0.329 0.329 0.776
Pd2 0.671 0.671 0.224
```